Record 1
Density functional theory data (GGA-PBE) for crystalline Sm6Ni2Br3Cl at its relaxed geometry.

The calculation puts the uncorrected energy at -4.875 eV/atom. For the total magnetization, the calculation gives 0.000 μB/f.u.

The space group is C2/m (No. 12) and the conventional cell measures 7.173, 12.402 and 7.725 Å, with angles of 90.00, 107.90 and 90.00 degrees. Symmetry generates all atoms from Sm at (0.202, 0.000, 0.195), Sm at (0.249, 0.318, 0.198), Ni at (0.000, 0.167, 0.000), Br at (0.000, 0.000, 0.500), Br at (0.000, 0.341, 0.500) and Cl at (0.000, 0.500, 0.000).

***

Record 2
Density functional theory data (GGA-PBE) for crystalline TlNiBr2Cl at its relaxed geometry.

The calculation puts the uncorrected energy at -3.191 eV/atom. For the total magnetization, the calculation gives 0.082 μB/f.u.

The space group is P4/mmm (No. 123) and the conventional cell measures 5.109, 5.109 and 4.719 Å, with angles of 90.00, 90.00 and 90.00 degrees. Symmetry generates all atoms from Tl at (0.000, 0.000, 0.000), Ni at (0.500, 0.500, 0.500), Br at (0.000, 0.500, 0.500) and Cl at (0.500, 0.500, 0.000).

***

Record 3
Density functional theory data (GGA-PBE) for crystalline NiWBrCl2 at its relaxed geometry.

The calculation puts the uncorrected energy at -4.125 eV/atom. For the total magnetization, the calculation gives 3.774 μB/f.u.

The space group is P4/mmm (No. 123) and the conventional cell measures 4.361, 4.361 and 5.590 Å, with angles of 90.00, 90.00 and 90.00 degrees. Symmetry generates all atoms from Ni at (0.000, 0.000, 0.000), W at (0.000, 0.000, 0.500), Br at (0.500, 0.500, 0.500) and Cl at (0.000, 0.500, 0.000).

***

Record 4
Density functional theory data (GGA-PBE) for crystalline Zn2NiBrCl at its relaxed geometry.

The calculation puts the uncorrected energy at -2.417 eV/atom. For the total magnetization, the calculation gives 0.000 μB/f.u.

The space group is P4/mmm (No. 123) and the conventional cell measures 4.957, 4.957 and 4.283 Å, with angles of 90.00, 90.00 and 90.00 degrees. Symmetry generates all atoms from Zn at (0.000, 0.500, 0.000), Ni at (0.000, 0.000, 0.000), Br at (0.500, 0.500, 0.500) and Cl at (0.000, 0.000, 0.500).

***

Record 5
Density functional theory data (GGA-PBE) for crystalline NpBrCl3 at its relaxed geometry.

Its energy above the lowest structure with this stoichiometry is 0.0000 eV per atom. The calculation puts the uncorrected energy at -5.527 eV/atom. For the total magnetization, the calculation gives 3.000 μB/f.u.

The space group is P2_1/m (No. 11) and the conventional cell measures 6.700, 8.227 and 6.797 Å, with angles of 90.00, 93.31 and 90.00 degrees. Symmetry generates all atoms from Np at (0.000, 0.250, 0.001), Br at (0.277, 0.750, 0.296), Cl at (0.189, 0.000, 0.832) and Cl at (0.259, 0.250, 0.278).

***

Record 6
Density functional theory data (GGA-PBE) for crystalline NpBrCl at its relaxed geometry.

The calculation puts the uncorrected energy at -6.708 eV/atom. For the total magnetization, the calculation gives 4.964 μB/f.u.

The space group is P2_1/m (No. 11) and the conventional cell measures 4.959, 4.962 and 7.584 Å, with angles of 90.00, 108.38 and 90.00 degrees. Symmetry generates all atoms from Np at (0.250, 0.250, 0.000), Br at (0.125, 0.750, 0.741) and Cl at (0.355, 0.750, 0.217).

***

Record 7
Density functional theory data (GGA-PBE) for crystalline NpBr4Cl2 at its relaxed geometry.

The calculation puts the uncorrected energy at -4.402 eV/atom. For the total magnetization, the calculation gives 1.000 μB/f.u.

The space group is P-1 (No. 2) and the conventional cell measures 7.028, 7.420 and 7.555 Å, with angles of 62.97, 63.47 and 62.33 degrees. Symmetry generates all atoms from Np at (0.000, 0.000, 0.000), Br at (0.119, 0.345, 0.773), Br at (0.367, 0.779, 0.777) and Cl at (0.201, 0.909, 0.240).

***

Record 8
Density functional theory data (GGA-PBE) for crystalline Np2Br8Cl at its relaxed geometry.

The calculation puts the uncorrected energy at -4.905 eV/atom. For the total magnetization, the calculation gives 5.000 μB/f.u.

The space group is C2/m (No. 12) and the conventional cell measures 9.084, 12.581 and 8.802 Å, with angles of 90.00, 90.08 and 90.00 degrees. Symmetry generates all atoms from Np at (0.107, 0.000, 0.217), Br at (0.103, 0.210, 0.218), Br at (0.113, 0.500, 0.703), Br at (0.184, 0.000, 0.903) and Cl at (0.000, 0.000, 0.500).

***

Record 9
Density functional theory data (GGA-PBE) for crystalline NpBrCl4 at its relaxed geometry.

The calculation puts the uncorrected energy at -4.803 eV/atom. For the total magnetization, the calculation gives 4.035 μB/f.u.

The space group is P2_1/c (No. 14) and the conventional cell measures 8.607, 7.359 and 7.282 Å, with angles of 90.00, 108.78 and 90.00 degrees. Symmetry generates all atoms from Np at (0.000, 0.000, 0.000), Br at (0.500, 0.000, 0.500), Cl at (0.045, 0.182, 0.699) and Cl at (0.309, 0.555, 0.634).

***

Record 10
Density functional theory data (GGA-PBE) for crystalline NpBrCl2 at its relaxed geometry.

Its energy above the lowest structure with this stoichiometry is 0.0000 eV per atom. The calculation puts the uncorrected energy at -6.152 eV/atom. For the total magnetization, the calculation gives 4.000 μB/f.u.

The space group is Cc (No. 9) and the conventional cell measures 7.743, 11.896 and 7.321 Å, with angles of 90.00, 116.95 and 90.00 degrees. Symmetry generates all atoms from Np at (0.000, 0.092, 0.000), Br at (0.269, 0.418, 0.718), Cl at (0.206, 0.068, 0.783) and Cl at (0.257, 0.248, 0.247).

***

Record 11
Density functional theory data (GGA-PBE) for crystalline Np3BrCl7 at its relaxed geometry.

The calculation puts the uncorrected energy at -6.432 eV/atom. For the total magnetization, the calculation gives 13.000 μB/f.u.

The space group is Cm (No. 8) and the conventional cell measures 13.108, 8.370 and 9.459 Å, with angles of 90.00, 130.17 and 90.00 degrees. Symmetry generates all atoms from Np at (0.000, 0.000, 0.000), Np at (0.251, 0.252, 0.504), Br at (0.293, 0.000, 0.321), Cl at (0.015, 0.234, 0.812), Cl at (0.219, 0.000, 0.657), Cl at (0.225, 0.500, 0.682), Cl at (0.281, 0.500, 0.346) and Cl at (0.488, 0.268, 0.193).

***

Record 12
Density functional theory data (GGA-PBE) for crystalline NpBrCl3 at its relaxed geometry.

Its energy above the lowest structure with this stoichiometry is 0.0184 eV per atom. The calculation puts the uncorrected energy at -5.509 eV/atom. For the total magnetization, the calculation gives 3.000 μB/f.u.

The space group is R-3 (No. 148, hexagonal axes) and the conventional cell measures 7.2671, 7.2671 and 23.2848 Å, with angles of 90.00, 90.00 and 120.00 degrees. Symmetry generates all atoms from Np at (0.0000, 0.0000, 0.1927), Br at (0.0000, 0.0000, 0.3082) and Cl at (0.0116, 0.2892, 0.1168).